Entry 1:
## NpGaFeOs (PBE-GGA)

Data for crystalline NpGaFeOs at its relaxed geometry.

Results
The energy comes out at -35.56 eV per formula unit. Its density of states at the Fermi level is 4.56 states/eV/f.u.

Lattice parameters (Å, degrees): 6.369 6.369 6.369 90.00 90.00 90.00
Space group F-43m (No. 216)
Inequivalent atoms, fractional coordinates:
1 Np 0.000 0.000 0.000 x4
2 Ga 0.000 0.000 0.500 x4
3 Fe 0.250 0.250 0.250 x4
4 Os 0.250 0.250 0.750 x4

---

Entry 2:
## KZn3Ir (PBE-GGA)

Data for crystalline KZn3Ir at its relaxed geometry.

Results
The energy comes out at -14.38 eV per formula unit. For the excess energy over the best structure of this formula in the dataset, the calculation gives 0.00 eV per formula unit. Its density of states at the Fermi level is 1.29 states/eV/f.u.

Lattice parameters (Å, degrees): 4.920 4.920 4.920 90.00 90.00 90.00
Space group Pm-3m (No. 221)
Inequivalent atoms, fractional coordinates:
1 K 0.000 0.000 0.000 x1
2 Zn 0.000 0.500 0.500 x3
3 Ir 0.500 0.500 0.500 x1

---

Entry 3:
## Tb8Cu2Tc (PBE-GGA)

Data for crystalline Tb8Cu2Tc at its relaxed geometry.

Results
The energy comes out at -55.48 eV per formula unit. For the excess energy over the best structure of this formula in the dataset, the calculation gives 1.05 eV per formula unit. Its density of states at the Fermi level is 12.60 states/eV/f.u.

Lattice parameters (Å, degrees): 8.251 13.249 5.743 90.00 110.50 90.00
Space group Cm (No. 8)
Inequivalent atoms, fractional coordinates:
1 Tb 0.000 0.000 0.000 x2
2 Tb 0.068 0.379 0.775 x4
3 Tb 0.152 0.122 0.569 x4
4 Tb 0.226 0.500 0.367 x2
5 Tb 0.359 0.209 0.180 x4
6 Cu 0.363 0.303 0.683 x4
7 Tc 0.366 0.000 0.279 x2

---

Entry 4:
## Li2ZrTa (PBE-GGA)

Data for crystalline Li2ZrTa at its relaxed geometry.

Results
The energy comes out at -21.30 eV per formula unit. For the excess energy over the best structure of this formula in the dataset, the calculation gives 2.09 eV per formula unit. Its density of states at the Fermi level is 3.42 states/eV/f.u.

Lattice parameters (Å, degrees): 7.428 7.428 5.232 90.00 90.00 90.00
Space group I-42d (No. 122)
Inequivalent atoms, fractional coordinates:
1 Li 0.246 0.250 0.125 x8
2 Zr 0.000 0.000 0.500 x4
3 Ta 0.000 0.000 0.000 x4

---

Entry 5:
## CsKMo2S (PBE-GGA)

Data for crystalline CsKMo2S at its relaxed geometry.

Results
The energy comes out at -16.54 eV per formula unit. Its density of states at the Fermi level is 3.81 states/eV/f.u. The uncorrected formation energy comes out at 2241 meV per atom.

Lattice parameters (Å, degrees): 5.773 5.773 6.166 90.00 90.00 90.00
Space group P4/mmm (No. 123)
Inequivalent atoms, fractional coordinates:
1 Cs 0.000 0.000 0.000 x1
2 K 0.500 0.500 0.500 x1
3 Mo 0.000 0.500 0.000 x2
4 S 0.000 0.000 0.500 x1